# GGA+U Rb4Mn3SnF12, optimized geometry
data_Rb4Mn3SnF12
_space_group_name_H-M_alt 'I m -3 m'
_space_group_IT_number 229
_space_group_name_Hall '-I 4 2 3'
_cell_length_a 8.847
_cell_length_b 8.847
_cell_length_c 8.847
_cell_angle_alpha 90.00
_cell_angle_beta 90.00
_cell_angle_gamma 90.00
loop_
_atom_site_label
_atom_site_fract_x
_atom_site_fract_y
_atom_site_fract_z
_atom_site_occupancy
Rb1 0.250 0.250 0.250 1
Mn1 0.000 0.000 0.500 1
Sn1 0.000 0.000 0.000 1
F1 0.000 0.000 0.265 1
F2 0.000 0.250 0.500 1
# Energy in eV/atom: -5.315